17
Lattice="5.2927 0.0000 0.0000 -1.9510 5.1196 0.0000 -1.0066 -2.6813 8.9319" Properties=species:S:1:pos:R:3 comment="LiV4O5F7 (PBE+U, relaxed)" n_ef_per_ev_fu=0.000 volume_a3_per_atom=14.24 total_energy_ev_per_atom=-6.394 polymorph_energy_mev_per_atom=112.9 pbc="T T T"
Li 0.0000 0.0000 0.0000
V -1.3202 0.8191 4.9817
V -0.0360 3.2340 1.9956
V 2.4737 2.3471 0.5523
V 2.4623 3.4728 3.4401
O -0.6744 1.3497 6.3480
O 1.5814 2.0889 2.1562
O 2.7639 -0.6212 2.7136
O 3.6078 -0.8362 5.1913
O 3.4220 3.7546 1.6284
F -0.9276 2.5525 3.6868
F 0.0449 0.1925 3.7972
F 0.6304 -1.7861 8.6431
F 0.7254 3.3961 0.2230
F 2.0091 0.6593 8.0389
F 2.3433 1.7525 4.7353
F 4.1600 1.4282 0.8412